Model 1:
First-principles (PBE) data for an optimized crystal structure of NaSeN2F, as listed in Alexandria via LeMat-Bulk.

Geometry as extended XYZ:
```
5
Lattice="-0.474 -4.467 1.203 2.768 -1.243 -3.524 4.426 0.426 3.326" Properties=species:S:1:pos:R:3 pbc="T T T"
F 3.360 -2.642 0.502
N -0.237 -2.234 0.601
N 1.384 -0.622 -1.762
Na 0.000 0.000 0.000
Se 2.213 0.213 1.663
```

Properties
SG ... P4/mmm
DOS at the Fermi energy ... 2.29 states/eV/f.u.

---

Model 2:
First-principles (PBE) data for an optimized crystal structure of NaSeN2F, as listed in Alexandria via LeMat-Bulk.

Geometry as extended XYZ:
```
5
Lattice="3.723 0.000 0.000 0.000 3.723 0.000 0.000 0.000 4.856" Properties=species:S:1:pos:R:3 pbc="T T T"
N 0.000 1.861 0.000
N 1.861 0.000 0.000
Na 1.861 1.861 2.428
F 0.000 0.000 2.428
Se 0.000 0.000 0.000
```

Properties
SG ... P4/mmm
DOS at the Fermi energy ... 1.83 states/eV/f.u.

---

Relative energies in meV per atom: model 1 1505; model 2 0

---

Model 1:
First-principles (PBE) data for an optimized crystal structure of NaSiNF2, as listed in Alexandria via LeMat-Bulk.

Geometry as extended XYZ:
```
5
Lattice="-1.692 -0.298 3.611 3.585 -0.710 1.621 0.577 4.345 0.628" Properties=species:S:1:pos:R:3 pbc="T T T"
F -0.846 -0.149 1.805
F 1.793 -0.355 0.811
Si 1.235 1.669 2.930
Na 0.000 0.000 0.000
N 0.288 2.173 0.314
```

Properties
SG ... P4/mmm
DOS at the Fermi energy ... 1.36 states/eV/f.u.

---

Model 2:
First-principles (PBE) data for an optimized crystal structure of NaSiNF2, as listed in Alexandria via LeMat-Bulk.

Geometry as extended XYZ:
```
5
Lattice="4.062 0.000 0.000 0.000 4.062 0.000 0.000 0.000 3.289" Properties=species:S:1:pos:R:3 pbc="T T T"
Na 2.031 2.031 1.644
Si 0.000 0.000 0.000
F 0.000 2.031 0.000
F 2.031 0.000 0.000
N 0.000 0.000 1.644
```

Properties
SG ... P4/mmm
DOS at the Fermi energy ... 0.00 states/eV/f.u.

---

Relative energies in meV per atom: model 1 1663; model 2 0

---

Model 1:
First-principles (PBE) data for an optimized crystal structure of NaSnN2F, as listed in Alexandria via LeMat-Bulk.

Geometry as extended XYZ:
```
5
Lattice="4.461 0.000 0.000 0.000 4.461 0.000 0.000 0.000 4.000" Properties=species:S:1:pos:R:3 pbc="T T T"
N 2.231 0.000 0.000
N 0.000 2.231 0.000
Na 0.000 0.000 0.000
Sn 2.231 2.231 2.000
F 0.000 0.000 2.000
```

Properties
SG ... P4/mmm
DOS at the Fermi energy ... 1.67 states/eV/f.u.

---

Model 2:
First-principles (PBE) data for an optimized crystal structure of NaSnN2F, as listed in Alexandria via LeMat-Bulk.

Geometry as extended XYZ:
```
5
Lattice="-3.793 -1.017 -1.264 1.556 -1.371 -3.566 0.493 -4.037 1.768" Properties=species:S:1:pos:R:3 pbc="T T T"
Na -0.872 -3.213 -1.531
N -1.896 -0.508 -0.632
N 0.778 -0.686 -1.783
F 0.246 -2.019 0.884
Sn 0.000 0.000 0.000
```

Properties
SG ... P4/mmm
DOS at the Fermi energy ... 3.36 states/eV/f.u.

---

Relative energies in meV per atom: model 1 848; model 2 0

---

Model 1:
First-principles (PBE) data for an optimized crystal structure of NaTcN2F, as listed in Alexandria via LeMat-Bulk.

Geometry as extended XYZ:
```
5
Lattice="4.024 0.000 0.000 0.000 4.024 0.000 0.000 0.000 3.642" Properties=species:S:1:pos:R:3 pbc="T T T"
N 2.012 0.000 0.000
N 0.000 2.012 0.000
Tc 2.012 2.012 1.821
F 0.000 0.000 1.821
Na 0.000 0.000 0.000
```

Properties
SG ... P4/mmm
DOS at the Fermi energy ... 8.10 states/eV/f.u.

---

Model 2:
First-principles (PBE) data for an optimized crystal structure of NaTcN2F, as listed in Alexandria via LeMat-Bulk.

Geometry as extended XYZ:
```
5
Lattice="-3.421 0.789 -1.566 -1.234 -3.522 0.921 -1.400 1.485 3.805" Properties=species:S:1:pos:R:3 pbc="T T T"
Tc 0.000 0.000 0.000
N -1.710 0.394 -0.783
N -0.617 -1.761 0.460
Na -3.027 -0.625 1.579
F -0.700 0.742 1.902
```

Properties
SG ... P4/mmm
DOS at the Fermi energy ... 3.38 states/eV/f.u.

---

Relative energies in meV per atom: model 1 2314; model 2 0

---

Model 1:
First-principles (PBE) data for an optimized crystal structure of NaTcNF2, as listed in Alexandria via LeMat-Bulk.

Geometry as extended XYZ:
```
5
Lattice="-1.235 -3.659 0.013 0.868 -0.279 3.753 -4.096 1.387 1.051" Properties=species:S:1:pos:R:3 pbc="T T T"
Na 0.000 0.000 0.000
Tc -2.232 -1.276 2.409
F -0.618 -1.830 0.007
F 0.434 -0.140 1.877
N -2.048 0.693 0.525
```

Properties
SG ... P4/mmm
DOS at the Fermi energy ... 1.73 states/eV/f.u.

---

Model 2:
First-principles (PBE) data for an optimized crystal structure of NaTcNF2, as listed in Alexandria via LeMat-Bulk.

Geometry as extended XYZ:
```
5
Lattice="4.253 0.000 0.000 0.000 4.253 0.000 0.000 0.000 3.785" Properties=species:S:1:pos:R:3 pbc="T T T"
Tc 0.000 0.000 0.000
F 2.126 0.000 0.000
F 0.000 2.126 0.000
N 0.000 0.000 1.893
Na 2.126 2.126 1.893
```

Properties
SG ... P4/mmm
DOS at the Fermi energy ... 3.45 states/eV/f.u.

---

Relative energies in meV per atom: model 1 1337; model 2 0

---

Model 1:
First-principles (PBE) data for an optimized crystal structure of NaTe2NF, as listed in Alexandria via LeMat-Bulk.

Geometry as extended XYZ:
```
5
Lattice="-3.690 -3.305 -1.904 -0.240 -2.442 4.705 -2.950 2.603 1.200" Properties=species:S:1:pos:R:3 pbc="T T T"
Te -0.120 -1.221 2.353
Te -1.845 -1.652 -0.952
F -3.440 -1.572 2.001
N -1.475 1.301 0.600
Na 0.000 0.000 0.000
```

Properties
SG ... P4/mmm
DOS at the Fermi energy ... 4.69 states/eV/f.u.

---

Model 2:
First-principles (PBE) data for an optimized crystal structure of NaTe2NF, as listed in Alexandria via LeMat-Bulk.

Geometry as extended XYZ:
```
5
Lattice="4.791 0.000 0.000 0.000 4.791 0.000 0.000 0.000 4.579" Properties=species:S:1:pos:R:3 pbc="T T T"
Te 2.395 0.000 0.000
Te 0.000 2.395 0.000
F 0.000 0.000 0.000
N 0.000 0.000 2.289
Na 2.395 2.395 2.289
```

Properties
SG ... P4/mmm
DOS at the Fermi energy ... 3.72 states/eV/f.u.

---

Relative energies in meV per atom: model 1 514; model 2 0

---

Model 1:
First-principles (PBE) data for an optimized crystal structure of NaTeNF2, as listed in Alexandria via LeMat-Bulk.

Geometry as extended XYZ:
```
5
Lattice="4.674 0.000 0.000 0.000 4.674 0.000 0.000 0.000 4.081" Properties=species:S:1:pos:R:3 pbc="T T T"
F 0.000 2.337 0.000
F 2.337 0.000 0.000
Na 2.337 2.337 2.041
N 0.000 0.000 2.041
Te 0.000 0.000 0.000
```

Properties
SG ... P4/mmm
DOS at the Fermi energy ... 0.66 states/eV/f.u.

---

Model 2:
First-principles (PBE) data for an optimized crystal structure of NaTeNF2, as listed in Alexandria via LeMat-Bulk.

Geometry as extended XYZ:
```
5
Lattice="3.936 0.000 0.000 0.000 3.936 0.000 0.000 0.000 4.642" Properties=species:S:1:pos:R:3 pbc="T T T"
Na 0.000 0.000 0.000
Te 1.968 1.968 2.321
N 0.000 0.000 2.321
F 0.000 1.968 0.000
F 1.968 0.000 0.000
```

Properties
SG ... P4/mmm
DOS at the Fermi energy ... 2.33 states/eV/f.u.

---

Relative energies in meV per atom: model 1 0; model 2 675

---

Model 1:
First-principles (PBE) data for an optimized crystal structure of NaTeN2F, as listed in Alexandria via LeMat-Bulk.

Geometry as extended XYZ:
```
5
Lattice="3.994 0.000 0.000 0.000 3.994 0.000 0.000 0.000 4.586" Properties=species:S:1:pos:R:3 pbc="T T T"
F 0.000 0.000 2.293
Na 1.997 1.997 2.293
N 1.997 0.000 0.000
N 0.000 1.997 0.000
Te 0.000 0.000 0.000
```

Properties
SG ... P4/mmm
DOS at the Fermi energy ... 1.71 states/eV/f.u.

---

Model 2:
First-principles (PBE) data for an optimized crystal structure of NaTeN2F, as listed in Alexandria via LeMat-Bulk.

Geometry as extended XYZ:
```
5
Lattice="4.356 0.000 0.000 0.000 4.356 0.000 0.000 0.000 3.847" Properties=species:S:1:pos:R:3 pbc="T T T"
N 0.000 2.178 0.000
N 2.178 0.000 0.000
Na 0.000 0.000 0.000
Te 2.178 2.178 1.923
F 0.000 0.000 1.923
```

Properties
SG ... P4/mmm
DOS at the Fermi energy ... 3.14 states/eV/f.u.

---

Relative energies in meV per atom: model 1 0; model 2 1021